Entry from the Alexandria database: a relaxed structure of Sr3TlIn (PBE).

a = 8.7835 Å, b = 4.9114 Å, c = 10.2199 Å
α = 90.00°, β = 111.48°, γ = 90.00°
With the nearest neighbours (Å) after each atom.
Space group Pm (No. 6)
Unique sites:
Sr  0.0000  0.0000  0.0000 [1 per cell]  3 Tl 3.49-3.54, 2 In 3.73
Sr  0.0648  0.5000  0.6643 [1 per cell]  2 Tl 3.44
Sr  0.3592  0.0000  0.4881 [1 per cell]  1 Tl 3.45, 4 In 3.45-3.66, 1 Sr 3.85
Sr  0.4275  0.5000  0.1952 [1 per cell]  1 In 3.41, 1 Tl 3.51
Sr  0.4956  0.0000  0.8913 [1 per cell]  2 Tl 3.38, 2 In 3.46
Sr  0.8362  0.0000  0.3259 [1 per cell]  3 Tl 3.40-3.45, 2 In 3.45
Tl  0.7512  0.5000  0.0721 [1 per cell]  2 In 3.05-3.33, 2 Sr 3.38
Tl  0.7810  0.0000  0.6378 [1 per cell]  2 In 3.04, 1 Sr 3.40
In  0.0967  0.5000  0.2943 [1 per cell]  1 Tl 3.05, 1 Sr 3.41
In  0.6345  0.5000  0.7232 [1 per cell]  3 Tl 3.04-3.33

## Properties
The formation enthalpy at 0 K is -1.33 eV/f.u. The magnetic moment is 0.000 μB/atom. The value obtained for the polymorph energy (0 for the lowest one) is 0.092 eV/atom.